[1]
The following is a DFT calculation (PBE) of an optimized crystal structure of TmZnPbSe3.

Cell lengths 7.249, 7.249, 10.551 Å; angles 90.00, 90.00, 147.15 degrees
Atoms (fractional coordinates):
1 Pb 0.224 0.776 0.250
2 Pb 0.776 0.224 0.750
3 Se 0.637 0.363 0.051
4 Se 0.919 0.081 0.250
5 Se 0.637 0.363 0.449
6 Se 0.363 0.637 0.551
7 Se 0.081 0.919 0.750
8 Se 0.363 0.637 0.949
9 Tm 0.000 0.000 0.000
10 Tm 0.000 0.000 0.500
11 Zn 0.532 0.468 0.250
12 Zn 0.468 0.532 0.750

**VASP energy**: -4.243 eV/atom
**Symmetry**: Cmcm (63)



[2]
The following is a DFT calculation (PBE) of an optimized crystal structure of U2PbSe5.

Cell lengths 8.611, 7.822, 12.262 Å; angles 90.00, 89.60, 90.00 degrees
Site moments in Bohr magnetons follow the coordinates.
Atoms (fractional coordinates):
1 Pb 0.014 0.987 0.181  0.00
2 Pb 0.986 0.487 0.319  0.00
3 Pb 0.014 0.513 0.681  0.00
4 Pb 0.986 0.013 0.819  0.00
5 Se 0.719 0.045 0.001  -0.08
6 Se 0.040 0.338 0.087  -0.07
7 Se 0.451 0.335 0.098  -0.10
8 Se 0.723 0.666 0.183  -0.08
9 Se 0.268 0.696 0.218  -0.07
10 Se 0.732 0.196 0.282  -0.07
11 Se 0.277 0.166 0.317  -0.08
12 Se 0.549 0.835 0.402  -0.10
13 Se 0.960 0.838 0.413  -0.07
14 Se 0.281 0.545 0.499  -0.08
15 Se 0.719 0.455 0.501  -0.08
16 Se 0.040 0.162 0.587  -0.07
17 Se 0.451 0.165 0.598  -0.10
18 Se 0.723 0.834 0.683  -0.08
19 Se 0.268 0.804 0.718  -0.07
20 Se 0.732 0.304 0.782  -0.07
21 Se 0.277 0.334 0.817  -0.08
22 Se 0.549 0.665 0.902  -0.10
23 Se 0.960 0.662 0.913  -0.07
24 Se 0.281 0.955 0.999  -0.08
25 U 0.744 0.421 0.007  1.99
26 U 0.500 0.981 0.182  2.26
27 U 0.500 0.481 0.318  2.24
28 U 0.256 0.921 0.493  1.98
29 U 0.744 0.079 0.507  1.98
30 U 0.500 0.519 0.682  2.24
31 U 0.500 0.019 0.818  2.26
32 U 0.256 0.579 0.993  1.99

**VASP energy**: -6.442 eV/atom
**Symmetry**: P2_1/c (14)



[3]
The following is a DFT calculation (PBE) of an optimized crystal structure of U2PbSe5.

Cell lengths 12.854, 8.083, 7.816 Å; angles 90.00, 90.00, 90.00 degrees
Site moments in Bohr magnetons follow the coordinates.
Atoms (fractional coordinates):
1 Pb 0.492 0.750 0.061  -0.03
2 Pb 0.992 0.750 0.438  -0.03
3 Pb 0.008 0.250 0.561  -0.03
4 Pb 0.508 0.250 0.938  -0.03
5 Se 0.999 0.750 0.017  -0.10
6 Se 0.379 0.036 0.168  -0.12
7 Se 0.379 0.464 0.168  -0.11
8 Se 0.688 0.250 0.181  -0.09
9 Se 0.713 0.750 0.200  -0.10
10 Se 0.213 0.750 0.300  -0.10
11 Se 0.188 0.250 0.319  -0.09
12 Se 0.879 0.036 0.332  -0.11
13 Se 0.879 0.464 0.332  -0.11
14 Se 0.499 0.750 0.483  -0.10
15 Se 0.501 0.250 0.517  -0.10
16 Se 0.121 0.536 0.668  -0.11
17 Se 0.121 0.964 0.668  -0.11
18 Se 0.812 0.750 0.681  -0.09
19 Se 0.787 0.250 0.700  -0.10
20 Se 0.287 0.250 0.800  -0.10
21 Se 0.312 0.750 0.819  -0.09
22 Se 0.621 0.536 0.832  -0.11
23 Se 0.621 0.964 0.832  -0.12
24 Se 0.001 0.250 0.983  -0.10
25 U 0.178 0.001 0.015  2.21
26 U 0.178 0.499 0.015  2.18
27 U 0.678 0.001 0.485  2.18
28 U 0.678 0.499 0.485  2.20
29 U 0.322 0.501 0.515  2.20
30 U 0.322 0.999 0.515  2.18
31 U 0.822 0.501 0.985  2.18
32 U 0.822 0.999 0.985  2.21

**VASP energy**: -6.333 eV/atom
**Symmetry**: Pnma (62)



[4]
The following is a DFT calculation (PBE) of an optimized crystal structure of YZnPbSe3.

Cell lengths 7.242, 7.242, 10.672 Å; angles 90.00, 90.00, 146.88 degrees
Atoms (fractional coordinates):
1 Pb 0.277 0.723 0.250
2 Pb 0.723 0.277 0.750
3 Se 0.861 0.139 0.055
4 Se 0.582 0.418 0.250
5 Se 0.861 0.139 0.445
6 Se 0.139 0.861 0.555
7 Se 0.418 0.582 0.750
8 Se 0.139 0.861 0.945
9 Y 0.500 0.500 0.000
10 Y 0.500 0.500 0.500
11 Zn 0.969 0.031 0.250
12 Zn 0.031 0.969 0.750

**VASP energy**: -4.590 eV/atom
**Symmetry**: Cmcm (63)



Repeat the third record exactly.
The following is a DFT calculation (PBE) of an optimized crystal structure of U2PbSe5.

Cell lengths 12.854, 8.083, 7.816 Å; angles 90.00, 90.00, 90.00 degrees
Site moments in Bohr magnetons follow the coordinates.
Atoms (fractional coordinates):
1 Pb 0.492 0.750 0.061  -0.03
2 Pb 0.992 0.750 0.438  -0.03
3 Pb 0.008 0.250 0.561  -0.03
4 Pb 0.508 0.250 0.938  -0.03
5 Se 0.999 0.750 0.017  -0.10
6 Se 0.379 0.036 0.168  -0.12
7 Se 0.379 0.464 0.168  -0.11
8 Se 0.688 0.250 0.181  -0.09
9 Se 0.713 0.750 0.200  -0.10
10 Se 0.213 0.750 0.300  -0.10
11 Se 0.188 0.250 0.319  -0.09
12 Se 0.879 0.036 0.332  -0.11
13 Se 0.879 0.464 0.332  -0.11
14 Se 0.499 0.750 0.483  -0.10
15 Se 0.501 0.250 0.517  -0.10
16 Se 0.121 0.536 0.668  -0.11
17 Se 0.121 0.964 0.668  -0.11
18 Se 0.812 0.750 0.681  -0.09
19 Se 0.787 0.250 0.700  -0.10
20 Se 0.287 0.250 0.800  -0.10
21 Se 0.312 0.750 0.819  -0.09
22 Se 0.621 0.536 0.832  -0.11
23 Se 0.621 0.964 0.832  -0.12
24 Se 0.001 0.250 0.983  -0.10
25 U 0.178 0.001 0.015  2.21
26 U 0.178 0.499 0.015  2.18
27 U 0.678 0.001 0.485  2.18
28 U 0.678 0.499 0.485  2.20
29 U 0.322 0.501 0.515  2.20
30 U 0.322 0.999 0.515  2.18
31 U 0.822 0.501 0.985  2.18
32 U 0.822 0.999 0.985  2.21

**VASP energy**: -6.333 eV/atom
**Symmetry**: Pnma (62)